## Y2TmCu3 (PBE)

Data for crystalline Y2TmCu3 at its relaxed geometry.

The structure in CIF format:
```
data_Y2TmCu3
_chemical_formula_sum 'Y2 Tm1 Cu3'
_space_group_name_H-M_alt 'P -3 m 1'
_space_group_IT_number 164
_space_group_name_Hall '-P 3 2"'
_cell_length_a 4.8913
_cell_length_b 4.8913
_cell_length_c 6.0115
_cell_angle_alpha 90.00
_cell_angle_beta 90.00
_cell_angle_gamma 120.00
loop_
_atom_site_label
_atom_site_type_symbol
_atom_site_fract_x
_atom_site_fract_y
_atom_site_fract_z
Y1 Y 0.3333 0.6667 0.1700
Tm1 Tm 0.0000 0.0000 0.5000
Cu1 Cu 0.0000 0.0000 0.0000
Cu2 Cu 0.3333 0.6667 0.6632
```

Computed properties:
ΔE_f: -1.56 eV per formula unit


## Pm4Cu5P6 (PBE)

Data for crystalline Pm4Cu5P6 at its relaxed geometry.

The structure in CIF format:
```
data_Pm4Cu5P6
_chemical_formula_sum 'Pm16 Cu20 P24'
_space_group_name_H-M_alt 'C m c 21'
_space_group_IT_number 36
_cell_length_a 3.980
_cell_length_b 18.945
_cell_length_c 14.651
_cell_angle_alpha 90.00
_cell_angle_beta 90.00
_cell_angle_gamma 90.00
loop_
_space_group_symop_operation_xyz
'x,y,z'
'-x,-y,z+1/2'
'-x,y,z'
'x,-y,z+1/2'
'x+1/2,y+1/2,z'
'-x+1/2,-y+1/2,z+1/2'
'-x+1/2,y+1/2,z'
'x+1/2,-y+1/2,z+1/2'
loop_
_atom_site_label
_atom_site_type_symbol
_atom_site_fract_x
_atom_site_fract_y
_atom_site_fract_z
Pm1 Pm 0.000 0.015 0.000
Pm2 Pm 0.000 0.026 0.264
Pm3 Pm 0.000 0.178 0.807
Pm4 Pm 0.000 0.180 0.450
Cu1 Cu 0.000 0.147 0.127
Cu2 Cu 0.000 0.293 0.127
Cu3 Cu 0.000 0.346 0.768
Cu4 Cu 0.000 0.350 0.489
Cu5 Cu 0.000 0.417 0.194
P1 P 0.000 0.115 0.625
P2 P 0.000 0.218 0.999
P3 P 0.000 0.219 0.257
P4 P 0.000 0.421 0.898
P5 P 0.000 0.426 0.358
P6 P 0.000 0.430 0.628
```

Computed properties:
ΔE_f: -13.05 eV per formula unit


## LiSm2HoHg4 (PBE)

Data for crystalline LiSm2HoHg4 at its relaxed geometry.

The structure in CIF format:
```
data_LiSm2HoHg4
_chemical_formula_sum 'Li3 Sm6 Ho3 Hg12'
_space_group_name_H-M_alt 'R -3 m'
_space_group_IT_number 166
_space_group_name_Hall '-R 3 2"'
_cell_length_a 5.2088
_cell_length_b 5.2088
_cell_length_c 25.7779
_cell_angle_alpha 90.00
_cell_angle_beta 90.00
_cell_angle_gamma 120.00
loop_
_atom_site_label
_atom_site_type_symbol
_atom_site_fract_x
_atom_site_fract_y
_atom_site_fract_z
Li1 Li 0.0000 0.0000 0.0000
Sm1 Sm 0.0000 0.0000 0.2544
Ho1 Ho 0.0000 0.0000 0.5000
Hg1 Hg 0.0000 0.0000 0.1254
Hg2 Hg 0.0000 0.0000 0.3749
```

Computed properties:
ΔE_f: -3.66 eV per formula unit


## PrYSc2 (PBE)

Data for crystalline PrYSc2 at its relaxed geometry.

The structure in CIF format:
```
data_PrYSc2
_chemical_formula_sum 'Pr4 Y4 Sc8'
_space_group_name_H-M_alt 'C 1 2/m 1'
_space_group_IT_number 12
_cell_length_a 11.636
_cell_length_b 7.083
_cell_length_c 5.833
_cell_angle_alpha 90.00
_cell_angle_beta 105.06
_cell_angle_gamma 90.00
loop_
_space_group_symop_operation_xyz
'x,y,z'
'-x,-y,-z'
'-x,y,-z'
'x,-y,z'
'x+1/2,y+1/2,z'
'-x+1/2,-y+1/2,-z'
'-x+1/2,y+1/2,-z'
'x+1/2,-y+1/2,z'
loop_
_atom_site_label
_atom_site_type_symbol
_atom_site_fract_x
_atom_site_fract_y
_atom_site_fract_z
Pr1 Pr 0.128 0.000 0.247
Y1 Y 0.124 0.500 0.251
Sc1 Sc 0.124 0.250 0.749
```

Computed properties:
energy above the most stable polymorph in this dataset: 0 meV per atom
ΔE_f: 0.23 eV per formula unit